Below is a relaxed Pr3Er2Tm crystal, with properties calculated at the GGA-PBE level.

Values from the calculation:
Formation energy from the elements (meV per atom): 114
E_tot (eV/atom): -4.542
Relative energy among the computed polymorphs (meV per atom): 0.0

Lattice parameters (Å, degrees): 3.5553 6.8575 17.6472 79.71 84.22 74.98
Element x y z (fractional)
Pr1 0.0683 0.0336 0.8298
Pr2 0.9317 0.9664 0.1702
Pr3 0.6275 0.7352 0.0097
Pr4 0.3725 0.2648 0.9903
Pr5 0.7370 0.8649 0.6611
Pr6 0.2630 0.1351 0.3389
Er1 0.8043 0.5581 0.8334
Er2 0.1957 0.4419 0.1666
Er3 0.6315 0.2370 0.5000
Er4 0.3685 0.7630 0.5000
Tm1 0.4598 0.3992 0.6811
Tm2 0.5402 0.6008 0.3189